# 1
Density functional theory data (GGA-PBE) for a geometry-optimized TbLuMn structure.

Structure (CIF):
```
data_TbLuMn
_chemical_formula_sum 'Tb2 Lu2 Mn2'
_symmetry_space_group_name_H-M 'I 4 m m'
_symmetry_Int_Tables_number 107
_symmetry_space_group_name_Hall 'I 4 -2'
_cell_length_a 3.445
_cell_length_b 3.445
_cell_length_c 12.523
_cell_angle_alpha 90.00
_cell_angle_beta 90.00
_cell_angle_gamma 90.00
loop_
_atom_site_label
_atom_site_type_symbol
_atom_site_fract_x
_atom_site_fract_y
_atom_site_fract_z
_atom_site_occupancy
Tb1 Tb 0.000 0.000 0.000 1
Lu1 Lu 0.000 0.000 0.275 1
Mn1 Mn 0.000 0.000 0.641 1
```

***

# 2
Density functional theory data (GGA-PBE) for a geometry-optimized TbEuTlIr structure.

Structure (CIF):
```
data_TbEuTlIr
_chemical_formula_sum 'Tb4 Eu4 Tl4 Ir4'
_symmetry_space_group_name_H-M 'F -4 3 m'
_symmetry_Int_Tables_number 216
_symmetry_space_group_name_Hall 'F -4 2 3'
_cell_length_a 7.309
_cell_length_b 7.309
_cell_length_c 7.309
_cell_angle_alpha 90.00
_cell_angle_beta 90.00
_cell_angle_gamma 90.00
loop_
_atom_site_label
_atom_site_type_symbol
_atom_site_fract_x
_atom_site_fract_y
_atom_site_fract_z
_atom_site_occupancy
Tb1 Tb 0.000 0.000 0.000 1
Eu1 Eu 0.000 0.000 0.500 1
Tl1 Tl 0.250 0.250 0.750 1
Ir1 Ir 0.250 0.250 0.250 1
```

***

# 3
Density functional theory data (GGA-PBE) for a geometry-optimized AcCl3 structure.

Structure (CIF):
```
data_AcCl3
_chemical_formula_sum 'Ac2 Cl6'
_symmetry_space_group_name_H-M 'P 63/m'
_symmetry_Int_Tables_number 176
_symmetry_space_group_name_Hall '-P 6c'
_cell_length_a 7.7635
_cell_length_b 7.7635
_cell_length_c 4.5613
_cell_angle_alpha 90.00
_cell_angle_beta 90.00
_cell_angle_gamma 120.00
loop_
_atom_site_label
_atom_site_type_symbol
_atom_site_fract_x
_atom_site_fract_y
_atom_site_fract_z
_atom_site_occupancy
Ac1 Ac 0.3333 0.6667 0.2500 1
Cl1 Cl 0.0864 0.3923 0.7500 1
```

***

# 4
Density functional theory data (GGA-PBE) for a geometry-optimized CsBeHg structure.

Computed properties:
offset from the most stable computed form	39.4	meV/atom

Structure (CIF):
```
data_CsBeHg
_chemical_formula_sum 'Cs4 Be4 Hg4'
_symmetry_space_group_name_H-M 'C 1 2/m 1'
_symmetry_Int_Tables_number 12
_symmetry_space_group_name_Hall '-C 2y'
_cell_length_a 13.876
_cell_length_b 4.439
_cell_length_c 7.277
_cell_angle_alpha 90.00
_cell_angle_beta 114.30
_cell_angle_gamma 90.00
loop_
_atom_site_label
_atom_site_type_symbol
_atom_site_fract_x
_atom_site_fract_y
_atom_site_fract_z
_atom_site_occupancy
Cs1 Cs 0.210 0.000 0.223 1
Be1 Be 0.000 0.246 0.500 1
Hg1 Hg 0.006 0.500 0.804 1
```

***

# 5
Density functional theory data (GGA-PBE) for a geometry-optimized HoTmU2P4 structure.

Structure (CIF):
```
data_HoTmU2P4
_chemical_formula_sum 'Ho1 Tm1 U2 P4'
_symmetry_space_group_name_H-M 'P 1 2/m 1'
_symmetry_Int_Tables_number 10
_symmetry_space_group_name_Hall '-P 2y'
_cell_length_a 6.806
_cell_length_b 3.931
_cell_length_c 6.908
_cell_angle_alpha 90.00
_cell_angle_beta 109.19
_cell_angle_gamma 90.00
loop_
_atom_site_label
_atom_site_type_symbol
_atom_site_fract_x
_atom_site_fract_y
_atom_site_fract_z
_atom_site_occupancy
Ho1 Ho 0.000 0.000 0.000 1
Tm1 Tm 0.500 0.500 0.000 1
U1 U 0.000 0.500 0.500 1
U2 U 0.500 0.000 0.500 1
P1 P 0.251 0.000 0.748 1
P2 P 0.252 0.500 0.253 1
```

***

# 6
Density functional theory data (GGA-PBE) for a geometry-optimized Ac2Mg4In3Sn structure.

Structure (CIF):
```
data_Ac2Mg4In3Sn
_chemical_formula_sum 'Ac2 Mg4 In3 Sn1'
_symmetry_space_group_name_H-M 'P -4 m 2'
_symmetry_Int_Tables_number 115
_symmetry_space_group_name_Hall 'P -4 -2'
_cell_length_a 4.813
_cell_length_b 4.813
_cell_length_c 12.044
_cell_angle_alpha 90.00
_cell_angle_beta 90.00
_cell_angle_gamma 90.00
loop_
_atom_site_label
_atom_site_type_symbol
_atom_site_fract_x
_atom_site_fract_y
_atom_site_fract_z
_atom_site_occupancy
Ac1 Ac 0.000 0.500 0.247 1
Mg1 Mg 0.000 0.000 0.500 1
Mg2 Mg 0.000 0.500 0.865 1
Mg3 Mg 0.500 0.500 0.500 1
In1 In 0.000 0.000 0.000 1
In2 In 0.000 0.500 0.637 1
Sn1 Sn 0.500 0.500 0.000 1
```

***

# 7
Density functional theory data (GGA-PBE) for a geometry-optimized Ta2TlIr structure.

Computed properties:
offset from the most stable computed form	176.6	meV/atom

Structure (CIF):
```
data_Ta2TlIr
_chemical_formula_sum 'Ta4 Tl2 Ir2'
_symmetry_space_group_name_H-M 'I m m 2'
_symmetry_Int_Tables_number 44
_symmetry_space_group_name_Hall 'I 2 -2'
_cell_length_a 3.015
_cell_length_b 4.881
_cell_length_c 10.183
_cell_angle_alpha 90.00
_cell_angle_beta 90.00
_cell_angle_gamma 90.00
loop_
_atom_site_label
_atom_site_type_symbol
_atom_site_fract_x
_atom_site_fract_y
_atom_site_fract_z
_atom_site_occupancy
Ta1 Ta 0.000 0.000 0.000 1
Ta2 Ta 0.000 0.500 0.258 1
Tl1 Tl 0.000 0.500 0.792 1
Ir1 Ir 0.000 0.000 0.548 1
```

***

Here are the calculated size of the total moment numbers, same order: 2.66; 6.90; 0.00; 0.00; 4.62; 0.00; 0.00 (μB per formula unit).
Here are the calculated uncorrected energy numbers, same order: -0.4392; -0.5053; -0.3599; -0.1016; -0.5842; -0.2227; -0.6290 (Ry/atom).